1.
Crystalline Ce2ScS3 at its relaxed geometry, computed with PBE.

Lattice parameters (Å, degrees): 3.836 3.836 19.974 90.00 90.00 120.00
Positions (direct):
Ce 0.333 0.667 0.085
Ce 0.333 0.667 0.415
Ce 0.667 0.333 0.585
Ce 0.667 0.333 0.915
Sc 0.000 0.000 0.250
Sc 0.000 0.000 0.750
S 0.000 0.000 0.000
S 0.000 0.000 0.500
S 0.333 0.667 0.674
S 0.333 0.667 0.826
S 0.667 0.333 0.174
S 0.667 0.333 0.326

formation energy from raw total energies: -1.92 eV/atom
density of states at the Fermi level: 8.8 states/eV/f.u.
crystal system: hexagonal
energy above the most stable polymorph in this dataset: 0 meV/atom



2.
Crystalline YTeOs2 at its relaxed geometry, computed with PBE.

Lattice parameters (Å, degrees): 7.596 7.596 5.897 90.00 90.00 90.00
Positions (direct):
Y 0.000 0.000 0.000
Y 0.000 0.500 0.250
Y 0.500 0.000 0.750
Y 0.500 0.500 0.500
Te 0.000 0.000 0.500
Te 0.000 0.500 0.750
Te 0.500 0.000 0.250
Te 0.500 0.500 0.000
Os 0.200 0.250 0.625
Os 0.250 0.700 0.875
Os 0.250 0.800 0.375
Os 0.300 0.250 0.125
Os 0.700 0.750 0.125
Os 0.750 0.200 0.375
Os 0.750 0.300 0.875
Os 0.800 0.750 0.625

formation energy from raw total energies: 0.72 eV/atom
density of states at the Fermi level: 4.6 states/eV/f.u.
crystal system: tetragonal



3.
Crystalline VCoW2 at its relaxed geometry, computed with PBE.

Lattice parameters (Å, degrees): 6.865 6.865 5.133 90.00 90.00 90.00
Positions (direct):
V 0.000 0.000 0.000
V 0.000 0.500 0.250
V 0.500 0.000 0.750
V 0.500 0.500 0.500
Co 0.000 0.000 0.500
Co 0.000 0.500 0.750
Co 0.500 0.000 0.250
Co 0.500 0.500 0.000
W 0.229 0.250 0.625
W 0.250 0.729 0.875
W 0.250 0.771 0.375
W 0.271 0.250 0.125
W 0.729 0.750 0.125
W 0.750 0.229 0.375
W 0.750 0.271 0.875
W 0.771 0.750 0.625

density of states at the Fermi level: 3.6 states/eV/f.u.
crystal system: tetragonal
formation energy: 267 kJ/mol of formula units
energy above the most stable polymorph in this dataset: 606 meV/atom



4.
Crystalline ThMgSi2Au4 at its relaxed geometry, computed with PBE.

Lattice parameters (Å, degrees): 4.421 4.421 8.101 90.00 90.00 90.00
Positions (direct):
Th 0.000 0.000 0.000
Mg 0.000 0.000 0.500
Si 0.500 0.500 0.145
Si 0.500 0.500 0.855
Au 0.000 0.500 0.300
Au 0.000 0.500 0.700
Au 0.500 0.000 0.300
Au 0.500 0.000 0.700

formation energy from raw total energies: -0.44 eV/atom
density of states at the Fermi level: 1.7 states/eV/f.u.
crystal system: tetragonal



5.
Crystalline CsBaBiOs at its relaxed geometry, computed with PBE.

Lattice parameters (Å, degrees): 7.506 4.326 10.858 90.00 90.78 90.00
Positions (direct):
Cs 0.000 0.000 0.000
Cs 0.500 0.500 0.000
Ba 0.178 0.500 0.571
Ba 0.678 0.000 0.571
Bi 0.172 0.500 0.266
Bi 0.672 0.000 0.266
Os 0.341 0.000 0.367
Os 0.841 0.500 0.367

density of states at the Fermi level: 1.4 states/eV/f.u.
crystal system: monoclinic
formation energy: 165 kJ/mol of formula units
energy above the most stable polymorph in this dataset: 132 meV/atom



6.
Crystalline Cs2LaAsS4 at its relaxed geometry, computed with PBE.

Lattice parameters (Å, degrees): 14.964 13.422 8.254 83.69 63.06 33.25
Positions (direct):
Cs 0.059 0.059 0.691
Cs 0.309 0.309 0.941
Cs 0.691 0.691 0.059
Cs 0.941 0.941 0.309
La 0.125 0.125 0.125
La 0.875 0.875 0.875
As 0.375 0.375 0.375
As 0.625 0.625 0.625
S 0.004 0.649 0.552
S 0.295 0.552 0.649
S 0.351 0.996 0.705
S 0.448 0.705 0.996
S 0.552 0.295 0.004
S 0.649 0.004 0.295
S 0.705 0.448 0.351
S 0.996 0.351 0.448

formation energy from raw total energies: -1.01 eV/atom
crystal system: orthorhombic



7.
Crystalline Li2Zn3Sn at its relaxed geometry, computed with PBE.

Lattice parameters (Å, degrees): 9.064 8.403 5.406 78.78 65.42 35.80
Positions (direct):
Li 0.247 0.753 0.753
Li 0.250 0.250 0.250
Li 0.750 0.750 0.750
Li 0.753 0.247 0.247
Zn 0.159 0.682 0.318
Zn 0.163 0.163 0.837
Zn 0.318 0.841 0.159
Zn 0.682 0.159 0.841
Zn 0.837 0.837 0.163
Zn 0.841 0.318 0.682
Sn 0.337 0.337 0.663
Sn 0.663 0.663 0.337

density of states at the Fermi level: 2.0 states/eV/f.u.
crystal system: orthorhombic
formation energy: -103 kJ/mol of formula units
energy above the most stable polymorph in this dataset: 0 meV/atom



8.
Crystalline AsCS2 at its relaxed geometry, computed with PBE.

Lattice parameters (Å, degrees): 5.702 3.344 8.070 90.00 91.23 90.00
Positions (direct):
As 0.000 0.000 0.000
As 0.500 0.500 0.000
C 0.170 0.500 0.137
C 0.670 0.000 0.137
S 0.177 0.500 0.339
S 0.332 0.000 0.811
S 0.677 0.000 0.339
S 0.832 0.500 0.811

formation energy from raw total energies: 0.58 eV/atom
density of states at the Fermi level: 1.8 states/eV/f.u.
crystal system: monoclinic
energy above the most stable polymorph in this dataset: 90 meV/atom